Entry from the Alexandria database: Ac4AlGa after structural relaxation (PBE).

Output
Energy of formation from the pure elements in eV/atom: -0.12
Spin magnetization in μB/f.u.: 0.003
Calculated total energy in eV per atom: -3.983

abc: 5.458 5.455 9.474
angles: 73.27 73.26 59.98
Fractional coordinates of all 6 atoms:
Al: 0.500 0.500 0.500
Ac: 0.625 0.626 0.123
Ac: 0.375 0.374 0.877
Ac: 0.124 0.124 0.628
Ac: 0.876 0.876 0.372
Ga: 0.000 0.000 0.000

Entry from the Alexandria database: Be2CuNi3 after structural relaxation (PBE).

Output
Energy of formation from the pure elements in eV/atom: -0.32
Spin magnetization in μB/f.u.: 0.000
Calculated total energy in eV per atom: -5.132

abc: 2.579 2.579 8.743
angles: 90.00 90.00 90.00
Fractional coordinates of all 6 atoms:
Be: 0.500 0.500 0.153
Be: 0.500 0.500 0.847
Ni: 0.000 0.000 0.301
Ni: 0.000 0.000 0.000
Ni: 0.000 0.000 0.699
Cu: 0.500 0.500 0.500

Entry from the Alexandria database: PrHo2Th2 after structural relaxation (PBE).

Output
Energy of formation from the pure elements in eV/atom: 0.02
Distance to the lowest polymorph of the same formula in eV/f.u.: 0.00
Spin magnetization in μB/f.u.: 0.000
Calculated total energy in eV per atom: -5.739

abc: 3.590 3.590 14.697
angles: 82.98 82.98 60.00
Fractional coordinates of all 5 atoms:
Th: 0.199 0.199 0.403
Th: 0.801 0.801 0.597
Pr: 0.000 0.000 0.000
Ho: 0.598 0.598 0.205
Ho: 0.402 0.402 0.795

Entry from the Alexandria database: LiIn2HBr after structural relaxation (PBE).

Output
Spin magnetization in μB/f.u.: 0.000
Calculated total energy in eV per atom: -2.276

abc: 6.176 3.451 6.176
angles: 90.00 90.00 90.00
Fractional coordinates of all 5 atoms:
Li: 0.500 0.500 0.500
Br: 0.000 0.000 0.000
In: 0.500 0.000 0.000
In: 0.000 0.000 0.500
H: 0.000 0.500 0.000

Entry from the Alexandria database: Y4MgS7 after structural relaxation (PBE).

Output
Spin magnetization in μB/f.u.: 0.000
Calculated total energy in eV per atom: -6.647

abc: 6.598 6.598 11.512
angles: 75.47 75.47 33.61
Fractional coordinates of all 12 atoms:
S: 0.503 0.503 0.488
S: 0.961 0.961 0.784
S: 0.745 0.745 0.640
S: 0.269 0.269 0.354
S: 0.035 0.035 0.223
S: 0.658 0.658 0.949
S: 0.336 0.336 0.052
Y: 0.304 0.304 0.805
Y: 0.115 0.115 0.568
Y: 0.690 0.690 0.210
Y: 0.997 0.997 0.006
Mg: 0.887 0.887 0.421

Entry from the Alexandria database: CsK8Na2 after structural relaxation (PBE).

Output
Energy of formation from the pure elements in eV/atom: 0.03
Spin magnetization in μB/f.u.: 0.000
Calculated total energy in eV per atom: -1.085

abc: 8.001 12.085 12.085
angles: 41.66 82.81 82.81
Fractional coordinates of all 11 atoms:
K: 0.953 0.598 0.598
K: 0.881 0.216 0.216
K: 0.119 0.784 0.784
K: 0.551 0.148 0.647
K: 0.047 0.402 0.402
K: 0.449 0.852 0.353
K: 0.449 0.353 0.852
K: 0.551 0.647 0.148
Cs: 0.000 0.000 0.000
Na: 0.625 0.743 0.743
Na: 0.375 0.257 0.257

Entry from the Alexandria database: CePmTeAs after structural relaxation (PBE).

Output
Spin magnetization in μB/f.u.: 1.033
Calculated total energy in eV per atom: -6.104

abc: 4.317 4.317 7.688
angles: 73.69 73.69 60.00
Last column: magnetic moment on the atom in μB.
Fractional coordinates of all 4 atoms:
Ce: 0.991 0.991 0.027  0.86
Pm: 0.509 0.509 0.473  0.02
As: 0.250 0.250 0.251  -0.02
Te: 0.750 0.750 0.750  -0.01

Entry from the Alexandria database: RbAl3Os after structural relaxation (PBE).

Output
Energy of formation from the pure elements in eV/atom: -0.14
Distance to the lowest polymorph of the same formula in eV/f.u.: 0.00
Spin magnetization in μB/f.u.: 0.000
Calculated total energy in eV per atom: -4.826

abc: 4.896 4.896 4.896
angles: 90.00 90.00 90.00
Fractional coordinates of all 5 atoms:
Al: 0.500 0.000 0.000
Al: 0.000 0.500 0.000
Al: 0.000 0.000 0.500
Os: 0.000 0.000 0.000
Rb: 0.500 0.500 0.500

Question: spin magnetization of number 7 (CePmTeAs)?
Answer: 1.033 μB/f.u.

Please write out number 8 again, unchanged.
Entry from the Alexandria database: RbAl3Os after structural relaxation (PBE).

Output
Energy of formation from the pure elements in eV/atom: -0.14
Distance to the lowest polymorph of the same formula in eV/f.u.: 0.00
Spin magnetization in μB/f.u.: 0.000
Calculated total energy in eV per atom: -4.826

abc: 4.896 4.896 4.896
angles: 90.00 90.00 90.00
Fractional coordinates of all 5 atoms:
Al: 0.500 0.000 0.000
Al: 0.000 0.500 0.000
Al: 0.000 0.000 0.500
Os: 0.000 0.000 0.000
Rb: 0.500 0.500 0.500

Question: Which of these has the highest spin magnetization?
Answer: CePmTeAs